1.
# Sr3Ga4Ag4

A relaxed structure of Sr3Ga4Ag4 (PBE, Alexandria via LeMat-Bulk).

a = 4.366 Å, b = 4.631 Å, c = 13.825 Å
α = 80.59°, β = 81.01°, γ = 89.88°
Space group P-1 (No. 2)
One atom of each set of equivalent atoms:
Sr: 0.000 0.000 0.000 x1
Sr: 0.148 0.647 0.705 x2
Ga: 0.304 0.805 0.391 x2
Ga: 0.453 0.451 0.097 x2
Ag: 0.251 0.253 0.497 x2
Ag: 0.404 0.904 0.194 x2

Output
Energy of formation from the pure elements, eV/atom: -0.344

***

2.
# Pr2H3

A relaxed structure of Pr2H3 (PBE, Alexandria via LeMat-Bulk).

a = 3.906 Å, b = 3.906 Å, c = 5.527 Å
α = 90.00°, β = 90.00°, γ = 90.00°
Space group P-4m2 (No. 115)
One atom of each set of equivalent atoms:
Pr: 0.000 0.500 0.245 x2
H: 0.000 0.000 0.000 x1
H: 0.000 0.000 0.500 x1
H: 0.500 0.500 0.000 x1

***

3.
# SrCoAgGe

A relaxed structure of SrCoAgGe (PBE, Alexandria via LeMat-Bulk).

a = 3.979 Å, b = 3.979 Å, c = 11.096 Å
α = 90.00°, β = 90.00°, γ = 90.00°
Space group P4/nmm (No. 129, origin choice 2)
One atom of each set of equivalent atoms:
Sr: 0.250 0.250 0.249 x2
Co: 0.250 0.750 0.000 x2
Ag: 0.250 0.750 0.500 x2
Ge: 0.250 0.250 0.889 x2

Output
Energy of formation from the pure elements, eV/atom: -0.301

***

4.
# Pr3Zn5Au6

A relaxed structure of Pr3Zn5Au6 (PBE, Alexandria via LeMat-Bulk).

a = 4.585 Å, b = 13.524 Å, c = 9.276 Å
α = 90.00°, β = 90.00°, γ = 90.00°
Space group Pmmn (No. 59, origin choice 2)
One atom of each set of equivalent atoms:
Pr: 0.250 0.050 0.248 x4
Pr: 0.250 0.750 0.257 x2
Zn: 0.250 0.081 0.599 x4
Zn: 0.250 0.617 0.969 x4
Zn: 0.250 0.750 0.756 x2
Au: 0.250 0.087 0.879 x4
Au: 0.250 0.250 0.072 x2
Au: 0.250 0.250 0.448 x2
Au: 0.250 0.616 0.538 x4

Output
Energy of formation from the pure elements, eV/atom: -0.559

***

5.
# Li2TcSN

A relaxed structure of Li2TcSN (PBE, Alexandria via LeMat-Bulk).

a = 5.116 Å, b = 5.116 Å, c = 3.678 Å
α = 90.00°, β = 90.00°, γ = 90.00°
Space group P4/mmm (No. 123)
One atom of each set of equivalent atoms:
Li: 0.000 0.500 0.000 x2
Tc: 0.000 0.000 0.000 x1
S: 0.500 0.500 0.500 x1
N: 0.000 0.000 0.500 x1

Output
Raw formation energy, kJ/mol of formula units: 247

***

6.
# Ho2ErHf3N6

A relaxed structure of Ho2ErHf3N6 (PBE, Alexandria via LeMat-Bulk).

a = 14.489 Å, b = 3.295 Å, c = 6.644 Å
α = 90.00°, β = 104.04°, γ = 90.00°
Space group C2/m (No. 12)
One atom of each set of equivalent atoms:
Ho: 0.167 0.000 0.333 x4
Er: 0.000 0.500 0.000 x2
Hf: 0.000 0.500 0.500 x2
Hf: 0.167 0.000 0.833 x4
N: 0.005 0.000 0.739 x4
N: 0.162 0.500 0.596 x4
N: 0.171 0.500 0.070 x4

Output
Raw formation energy, kJ/mol of formula units: -2104

***

7.
# Tb3Nd3Y

A relaxed structure of Tb3Nd3Y (PBE, Alexandria via LeMat-Bulk).

a = 8.7281 Å, b = 8.7281 Å, c = 22.0477 Å
α = 90.00°, β = 90.00°, γ = 120.00°
Space group R-3 (No. 148, hexagonal axes)
One atom of each set of equivalent atoms:
Tb: 0.0552 0.4513 0.3801 x18
Nd: 0.0029 0.2380 0.5595 x18
Y: 0.0000 0.0000 0.1522 x6

Output
Energy of formation from the pure elements, eV/atom: 0.238
Distance to the lowest polymorph of the same formula, eV/atom: 0.217

***

8.
# Ba2NaSr3

A relaxed structure of Ba2NaSr3 (PBE, Alexandria via LeMat-Bulk).

a = 6.842 Å, b = 4.780 Å, c = 10.698 Å
α = 90.00°, β = 108.54°, γ = 90.00°
Space group P2/m (No. 10)
One atom of each set of equivalent atoms:
Ba: 0.157 0.000 0.314 x2
Na: 0.000 0.500 0.000 x1
Sr: 0.328 0.500 0.657 x2
Sr: 0.500 0.000 0.000 x1

Output
Energy of formation from the pure elements, eV/atom: 0.017
Distance to the lowest polymorph of the same formula, eV/atom: 0.000

***

9.
# Hf3Re

A relaxed structure of Hf3Re (PBE, Alexandria via LeMat-Bulk).

a = 4.851 Å, b = 10.927 Å, c = 6.848 Å
α = 90.00°, β = 110.71°, γ = 90.00°
Space group C2/m (No. 12)
One atom of each set of equivalent atoms:
Hf: 0.130 0.164 0.257 x8
Hf: 0.178 0.500 0.354 x4
Re: 0.000 0.358 0.000 x4

Output
Energy of formation from the pure elements, eV/atom: 0.130

***

10.
# BaCdGeAu2

A relaxed structure of BaCdGeAu2 (PBE, Alexandria via LeMat-Bulk).

a = 4.720 Å, b = 4.787 Å, c = 11.110 Å
α = 90.00°, β = 90.00°, γ = 90.00°
Space group Imm2 (No. 44)
One atom of each set of equivalent atoms:
Ba: 0.000 0.000 0.000 x2
Cd: 0.000 0.500 0.752 x2
Ge: 0.000 0.000 0.627 x2
Au: 0.000 0.000 0.394 x2
Au: 0.000 0.500 0.233 x2

Output
Energy of formation from the pure elements, eV/atom: -0.476

***

11.
# Er4Tm2Sc

A relaxed structure of Er4Tm2Sc (PBE, Alexandria via LeMat-Bulk).

a = 5.937 Å, b = 8.177 Å, c = 9.230 Å
α = 88.79°, β = 78.30°, γ = 72.30°
Space group P1 (No. 1)
One atom of each set of equivalent atoms:
Er: 0.000 0.000 0.000 x1
Er: 0.001 0.105 0.632 x1
Er: 0.098 0.575 0.150 x1
Er: 0.397 0.311 0.570 x1
Er: 0.539 0.788 0.091 x1
Er: 0.728 0.954 0.369 x1
Er: 0.837 0.505 0.498 x1
Er: 0.887 0.435 0.870 x1
Tm: 0.275 0.728 0.443 x1
Tm: 0.328 0.636 0.796 x1
Tm: 0.457 0.214 0.927 x1
Tm: 0.734 0.837 0.730 x1
Sc: 0.190 0.163 0.279 x1
Sc: 0.639 0.362 0.220 x1

Output
Energy of formation from the pure elements, eV/atom: 0.085
Distance to the lowest polymorph of the same formula, eV/atom: 0.000

***

12.
# Er5Tm2Sc

A relaxed structure of Er5Tm2Sc (PBE, Alexandria via LeMat-Bulk).

a = 8.805 Å, b = 8.805 Å, c = 12.236 Å
α = 90.00°, β = 90.00°, γ = 90.00°
Space group I4/mcm (No. 140)
One atom of each set of equivalent atoms:
Er: 0.000 0.000 0.000 x4
Er: 0.153 0.347 0.165 x16
Tm: 0.142 0.358 0.500 x8
Sc: 0.000 0.000 0.250 x4

Output
Energy of formation from the pure elements, eV/atom: 0.097
Distance to the lowest polymorph of the same formula, eV/atom: 0.091

***

Going through the records in order, we get E_tot values of -2.9404; -4.4248; -4.3649; -3.4428; -4.8167; -9.6112; -4.7135; -1.6844; -10.4476; -3.2776; -4.7041; -4.6642 eV per atom.
Going through the records in order, we get total moment values of 0.0; 0.6; 0.0; 0.0; 1.8; 0.0; 0.0; 0.0; 0.0; 0.0; 0.0; 0.0 μB per cell.